TbUOs: optimized geometry, GGA-PBE.

Unit cell a=13.4236 b=13.4236 c=13.4236 alpha=24.90 beta=24.90 gamma=24.90
Atoms (fractional coordinates):
Tb1 0.0498 0.0498 0.0498
Tb2 0.1791 0.1791 0.1791
Tb3 0.2567 0.2567 0.2567
Tb4 0.7433 0.7433 0.7433
Tb5 0.8209 0.8209 0.8209
Tb6 0.9502 0.9502 0.9502
U1 0.0000 0.5000 0.5000
U2 0.3931 0.3931 0.3931
U3 0.5000 0.0000 0.5000
U4 0.5000 0.5000 0.0000
U5 0.5000 0.5000 0.5000
U6 0.6069 0.6069 0.6069
Os1 0.2191 0.7196 0.7196
Os2 0.2804 0.2804 0.7809
Os3 0.2804 0.7809 0.2804
Os4 0.7196 0.2191 0.7196
Os5 0.7196 0.7196 0.2191
Os6 0.7809 0.2804 0.2804

Computed properties:
Space group: R-3m (166)
Formation energy from the elements (meV/atom): -103
VASP energy (eV/atom): -9.152